No. 1
Here is a relaxed structure of PdRu2Pt6 from Alexandria via LeMat-Bulk. Energies are from GGA-PBE.

abc: 2.7622 2.7622 20.9936
angles: 90.00 90.00 120.00
Fractional coordinates of all 9 atoms:
Pd: 0.0000 0.0000 0.0000
Ru: 0.3333 0.6667 0.3321
Ru: 0.3333 0.6667 0.6679
Pt: 0.0000 0.0000 0.2265
Pt: 0.0000 0.0000 0.4368
Pt: 0.0000 0.0000 0.5632
Pt: 0.0000 0.0000 0.7735
Pt: 0.3333 0.6667 0.1121
Pt: 0.3333 0.6667 0.8879

Crystal system = hexagonal
Energy relative to the elements = 0.06 eV per atom
Total magnetic moment = 0.000 μB/f.u.



No. 2
Here is a relaxed structure of Pd2RuPt8 from Alexandria via LeMat-Bulk. Energies are from GGA-PBE.

abc: 3.9325 6.2621 7.3977
angles: 104.77 105.25 90.14
Fractional coordinates of all 11 atoms:
Pd: 0.2272 0.1358 0.4535
Pd: 0.7728 0.8642 0.5465
Ru: 0.5000 0.5000 0.0000
Pt: 0.0448 0.2283 0.0908
Pt: 0.1344 0.6764 0.2685
Pt: 0.3203 0.5902 0.6399
Pt: 0.4098 0.0542 0.8207
Pt: 0.5902 0.9458 0.1793
Pt: 0.6797 0.4098 0.3601
Pt: 0.8656 0.3236 0.7315
Pt: 0.9552 0.7717 0.9092

Crystal system = triclinic
Energy relative to the elements = -0.02 eV per atom
Total magnetic moment = 0.000 μB/f.u.



No. 3
Here is a relaxed structure of PdRu2Pt3 from Alexandria via LeMat-Bulk. Energies are from GGA-PBE.

abc: 2.7617 2.7617 11.7913
angles: 90.00 90.00 90.00
Fractional coordinates of all 6 atoms:
Pd: 0.0000 0.0000 0.0000
Ru: 0.0000 0.0000 0.3340
Ru: 0.0000 0.0000 0.6660
Pt: 0.5000 0.5000 0.1747
Pt: 0.5000 0.5000 0.5000
Pt: 0.5000 0.5000 0.8253

Crystal system = tetragonal
Energy relative to the elements = 0.02 eV per atom
Total magnetic moment = 0.029 μB/f.u.



- Look up the total magnetic moment of the second one.
  0.000 μB/f.u.



- What is the formula in the third record?
  PdRu2Pt3